Record 1
A plane-wave DFT calculation with GGA-PBE was carried out for a geometry-optimized Sr3ErTm3S8 structure.

Uncorrected formation energy in eV per formula unit: -31.14
DOS at the Fermi energy in states/eV per cell: 3.11
Space-group type: R-3m, No. 166
E in eV/atom: -5.8124
Total moment in μB/cell: 0.00

```
Sr3ErTm3S8
1.0
-7.383 -2.408 1.506
5.270 0.496 5.874
-2.931 6.941 -3.277
Er S Sr Tm
1 8 3 3
direct
0.000 0.000 0.500 Er
0.241 0.481 0.721 S
0.258 0.517 0.276 S
0.261 0.020 0.279 S
0.759 0.519 0.279 S
0.742 0.483 0.724 S
0.759 0.020 0.279 S
0.739 0.980 0.721 S
0.241 0.980 0.721 S
0.500 0.500 0.000 Sr
0.000 0.000 0.000 Sr
0.000 0.500 0.000 Sr
0.500 0.000 0.500 Tm
0.000 0.500 0.500 Tm
0.500 0.500 0.500 Tm
```

Record 2
A plane-wave DFT calculation with GGA-PBE was carried out for a geometry-optimized SrEr2US8 structure.

Uncorrected formation energy in eV per formula unit: -17.11
Space-group type: P-1, No. 2
E in eV/atom: -6.0191
Total moment in μB/cell: 0.00

```
SrEr2US8
1.0
-0.613 6.630 1.004
-5.307 -0.627 1.539
2.391 -0.981 7.937
U S Er Sr
1 8 2 1
direct
0.000 0.000 0.000 U
0.151 0.743 0.780 S
0.851 0.258 0.779 S
0.334 0.244 0.001 S
0.666 0.756 0.999 S
0.434 0.176 0.500 S
0.566 0.824 0.500 S
0.849 0.257 0.220 S
0.149 0.742 0.221 S
0.500 0.499 0.771 Er
0.500 0.501 0.229 Er
0.000 0.000 0.500 Sr
```

Record 3
A plane-wave DFT calculation with GGA-PBE was carried out for a geometry-optimized SrYEr4S8 structure.

Uncorrected formation energy in eV per formula unit: -27.84
DOS at the Fermi energy in states/eV per cell: 3.64
Space-group type: R3m, No. 160
E in eV/atom: -6.2324
Total moment in μB/cell: 0.00

```
SrYEr4S8
1.0
-0.340 4.070 -6.995
-4.881 -2.554 -5.938
-6.652 4.260 -1.888
Sr Y Er S
1 1 4 8
direct
0.374 0.374 0.877 Sr
0.002 0.002 0.994 Y
0.625 0.625 0.125 Er
0.002 0.494 0.502 Er
0.002 0.002 0.502 Er
0.494 0.002 0.502 Er
0.237 0.793 0.732 S
0.237 0.237 0.732 S
0.756 0.756 0.260 S
0.758 0.758 0.727 S
0.793 0.237 0.732 S
0.228 0.756 0.260 S
0.756 0.228 0.260 S
0.235 0.235 0.295 S
```

Record 4
A plane-wave DFT calculation with GGA-PBE was carried out for a geometry-optimized Sr2YErS4 structure.

Uncorrected formation energy in eV per formula unit: -16.25
DOS at the Fermi energy in states/eV per cell: 3.51
Space-group type: P2/m, No. 10
E in eV/atom: -5.8942
Total moment in μB/cell: 0.00

```
Sr2YErS4
1.0
4.029 0.000 0.000
0.000 6.968 0.117
0.000 -2.441 6.724
Er S Y Sr
1 4 1 2
direct
0.500 0.500 0.000 Er
0.500 0.754 0.772 S
0.500 0.246 0.228 S
0.000 0.260 0.773 S
0.000 0.740 0.227 S
0.000 0.000 0.000 Y
0.000 0.500 0.500 Sr
0.500 0.000 0.500 Sr
```

Record 5
A plane-wave DFT calculation with GGA-PBE was carried out for a geometry-optimized SrYEr2S4 structure.

Uncorrected formation energy in eV per formula unit: -15.81
DOS at the Fermi energy in states/eV per cell: 2.60
Space-group type: P2/m, No. 10
E in eV/atom: -6.1984
Total moment in μB/cell: 0.00

```
SrYEr2S4
1.0
3.943 0.000 0.000
0.000 6.882 -0.169
0.000 2.403 6.443
S Er Sr Y
4 2 1 1
direct
0.000 0.767 0.737 S
0.000 0.233 0.263 S
0.500 0.239 0.747 S
0.500 0.761 0.253 S
0.500 0.000 0.500 Er
0.000 0.000 0.000 Er
0.500 0.500 0.000 Sr
0.000 0.500 0.500 Y
```

Record 6
A plane-wave DFT calculation with GGA-PBE was carried out for a geometry-optimized SrY2ErS4 structure.

Uncorrected formation energy in eV per formula unit: -15.85
DOS at the Fermi energy in states/eV per cell: 2.69
Space-group type: P2/m, No. 10
E in eV/atom: -6.4419
Total moment in μB/cell: 0.00

```
SrY2ErS4
1.0
3.958 0.000 0.000
0.000 6.901 -0.166
0.000 2.411 6.468
Sr Er S Y
1 1 4 2
direct
0.500 0.500 0.000 Sr
0.000 0.500 0.500 Er
0.500 0.752 0.259 S
0.000 0.760 0.736 S
0.500 0.248 0.741 S
0.000 0.240 0.264 S
0.000 0.000 0.000 Y
0.500 0.000 0.500 Y
```